# ZrGa2Te (PBE-GGA, relaxed)
# Space group ... No. 122
# DOS(E_F) ... 0.83 states/eV/atom
# Energy ... -35.8 eV/cell
data_ZrGa2Te
_chemical_formula_sum 'Zr2 Ga4 Te2'
_cell_length_a 6.2960
_cell_length_b 6.2960
_cell_length_c 6.2960
_cell_angle_alpha 102.44
_cell_angle_beta 102.44
_cell_angle_gamma 124.70
_symmetry_space_group_name_H-M 'P 1'
_symmetry_Int_Tables_number 1
loop_
_symmetry_equiv_pos_as_xyz
'x,y,z'
loop_
_atom_site_label
_atom_site_type_symbol
_atom_site_fract_x
_atom_site_fract_y
_atom_site_fract_z
_atom_site_occupancy
Zr1 Zr 0.0000 0.0000 0.0000 1
Zr2 Zr 0.7500 0.2500 0.5000 1
Ga1 Ga 0.1186 0.6250 0.9936 1
Ga2 Ga 0.3750 0.3686 0.4936 1
Ga3 Ga 0.6314 0.1250 0.0064 1
Ga4 Ga 0.8750 0.8814 0.5064 1
Te1 Te 0.2500 0.7500 0.5000 1
Te2 Te 0.5000 0.5000 0.0000 1